Below is MnCdSeF2 after structural relaxation, with properties calculated at the PBE with a Hubbard U level.

a b c (Å): 4.033 4.033 5.758
angles (deg): 90.00 90.00 90.00
Space group P4/mmm (No. 123)
Symmetry-distinct sites (fractional):
1 Mn 0.000 0.000 0.000 (multiplicity 1)
2 Cd 0.500 0.500 0.500 (multiplicity 1)
3 Se 0.000 0.000 0.500 (multiplicity 1)
4 F 0.000 0.500 0.000 (multiplicity 2)

VASP energy = -4.754 eV per atom
Crystal system = tetragonal